[1]
Here is a relaxed TlTc2Sb crystal from the Alexandria database. Energies are from GGA-PBE.

E_tot   -6.268 eV/atom
Crystal system   tetragonal
Total magnetization   0.81 Bohr magnetons per cell
SG   P4/mmm, No. 123
Formation energy without anion corrections   51.8 kJ per mole of atoms

Lattice parameters (Å, degrees): 3.304 4.651 4.651 90.00 90.00 90.00
Last column: magnetic moment on the atom in μB.
Element x y z (fractional)
Tc (0.000, 0.500, 0.500)  0.38
Tc (0.000, 0.000, 0.000)  0.38
Tl (0.500, 0.500, 0.000)  0.01
Sb (0.500, 0.000, 0.500)  -0.01

---

[2]
Here is a relaxed Mg5Mo3 crystal from the Alexandria database. Energies are from GGA-PBE.

E_tot   -4.466 eV/atom
Crystal system   hexagonal
Total magnetization   0.00 Bohr magnetons per cell
SG   P6_3/mcm, No. 193

Lattice parameters (Å, degrees): 8.364 8.367 5.012 90.00 90.00 120.01
Element x y z (fractional)
Mo (0.425, 0.425, 0.250)
Mo (0.575, 0.000, 0.250)
Mo (0.000, 0.425, 0.750)
Mo (0.425, 0.000, 0.750)
Mo (0.575, 0.575, 0.750)
Mo (0.000, 0.575, 0.250)
Mg (0.768, 0.000, 0.750)
Mg (0.232, 0.232, 0.750)
Mg (0.667, 0.333, 0.500)
Mg (0.232, 0.000, 0.250)
Mg (0.768, 0.768, 0.250)
Mg (0.333, 0.667, 0.000)
Mg (0.667, 0.333, 0.000)
Mg (0.333, 0.667, 0.500)
Mg (0.000, 0.768, 0.750)
Mg (0.000, 0.232, 0.250)

---

[3]
Here is a relaxed LiGdAlPt crystal from the Alexandria database. Energies are from GGA-PBE.

E_tot   -7.192 eV/atom
Crystal system   cubic
Total magnetization   7.78 Bohr magnetons per cell
SG   F-43m, No. 216

Lattice parameters (Å, degrees): 4.697 4.697 4.697 60.00 60.00 60.00
Last column: magnetic moment on the atom in μB.
Element x y z (fractional)
Al (0.500, 0.500, 0.500)  0.03
Gd (0.000, 0.000, 0.000)  7.16
Pt (0.750, 0.750, 0.750)  0.09
Li (0.250, 0.250, 0.250)  0.04

---

[4]
Here is a relaxed LaNd3Er crystal from the Alexandria database. Energies are from GGA-PBE.

E_tot   -4.581 eV/atom
Crystal system   monoclinic
Total magnetization   0.00 Bohr magnetons per cell
SG   C2/m, No. 12

Lattice parameters (Å, degrees): 6.879 6.107 9.508 108.63 111.21 90.00
Element x y z (fractional)
Nd (0.421, 0.903, 0.306)
Nd (0.579, 0.097, 0.694)
Nd (0.115, 0.097, 0.694)
Nd (0.773, 0.524, 0.545)
Nd (0.227, 0.476, 0.455)
Nd (0.885, 0.903, 0.306)
Er (0.449, 0.700, 0.899)
Er (0.551, 0.300, 0.101)
La (0.000, 0.000, 0.000)
La (0.000, 0.500, 0.000)

---

[5]
Here is a relaxed MnSiMo4 crystal from the Alexandria database. Energies are from GGA-PBE.

E_tot   -9.147 eV/atom
Crystal system   cubic
Total magnetization   2.58 Bohr magnetons per cell
SG   F-43m, No. 216
Formation energy without anion corrections   48.8 kJ per mole of atoms

Lattice parameters (Å, degrees): 5.167 5.167 5.167 60.00 60.00 60.00
Last column: magnetic moment on the atom in μB.
Element x y z (fractional)
Mo (0.375, 0.375, 0.375)  -0.14
Mo (0.375, 0.875, 0.375)  -0.14
Mo (0.875, 0.375, 0.375)  -0.14
Mo (0.375, 0.375, 0.875)  -0.14
Mn (0.000, 0.000, 0.000)  3.15
Si (0.750, 0.750, 0.750)  0.00

---

[6]
Here is a relaxed As7Au crystal from the Alexandria database. Energies are from GGA-PBE.

E_tot   -3.979 eV/atom
Crystal system   cubic
Total magnetization   0.00 Bohr magnetons per cell
SG   Fm-3m, No. 225

Lattice parameters (Å, degrees): 6.037 6.037 6.037 60.00 60.00 60.00
Element x y z (fractional)
As (0.000, 0.500, 0.000)
As (0.500, 0.000, 0.000)
As (0.500, 0.500, 0.500)
As (0.500, 0.500, 0.000)
As (0.000, 0.500, 0.500)
As (0.500, 0.000, 0.500)
As (0.000, 0.000, 0.500)
Au (0.000, 0.000, 0.000)

---

[7]
Here is a relaxed Ba2BeH crystal from the Alexandria database. Energies are from GGA-PBE.

E_tot   -2.448 eV/atom
Crystal system   tetragonal
Total magnetization   0.00 Bohr magnetons per cell
SG   I-42d, No. 122

Lattice parameters (Å, degrees): 7.653 7.653 6.999 56.85 56.85 90.00
Element x y z (fractional)
Be (0.750, 0.250, 0.500)
Be (0.000, 0.000, 0.000)
H (0.250, 0.750, 0.500)
H (0.500, 0.500, 0.000)
Ba (0.375, 0.441, 0.750)
Ba (0.191, 0.625, 0.250)
Ba (0.875, 0.809, 0.750)
Ba (0.559, 0.125, 0.250)

---

[8]
Here is a relaxed Tc2PAu2 crystal from the Alexandria database. Energies are from GGA-PBE.

E_tot   -6.477 eV/atom
Crystal system   tetragonal
Total magnetization   0.00 Bohr magnetons per cell
SG   P4/mbm, No. 127

Lattice parameters (Å, degrees): 6.042 6.042 4.526 90.00 90.00 90.00
Element x y z (fractional)
Au (0.166, 0.666, 0.500)
Au (0.334, 0.166, 0.500)
Au (0.834, 0.334, 0.500)
Au (0.666, 0.834, 0.500)
Tc (0.855, 0.645, 0.000)
Tc (0.645, 0.145, 0.000)
Tc (0.145, 0.355, 0.000)
Tc (0.355, 0.855, 0.000)
P (0.000, 0.000, 0.000)
P (0.500, 0.500, 0.000)

---

[9]
Here is a relaxed AcLa2Pm4Er crystal from the Alexandria database. Energies are from GGA-PBE.

E_tot   -4.322 eV/atom
Crystal system   monoclinic
Total magnetization   0.30 Bohr magnetons per cell
SG   C2/c, No. 15

Lattice parameters (Å, degrees): 9.778 9.778 12.088 128.16 128.16 88.73
Element x y z (fractional)
Pm (0.743, 0.760, 0.508)
Pm (0.260, 0.243, 0.008)
Pm (0.740, 0.757, 0.992)
Pm (0.743, 0.228, 0.985)
Pm (0.728, 0.243, 0.485)
Pm (0.257, 0.772, 0.015)
Pm (0.257, 0.240, 0.492)
Pm (0.272, 0.757, 0.515)
Er (0.500, 0.500, 0.500)
Er (0.000, 0.000, 0.000)
La (0.500, 0.500, 0.000)
La (0.500, 0.000, 0.500)
La (0.000, 0.000, 0.500)
La (0.500, 0.000, 0.000)
Ac (0.000, 0.500, 0.500)
Ac (0.000, 0.500, 0.000)

---

[10]
Here is a relaxed Pr2Pd5Au12 crystal from the Alexandria database. Energies are from GGA-PBE.

E_tot   -4.292 eV/atom
Crystal system   trigonal
Total magnetization   0.00 Bohr magnetons per cell
SG   R-3m, No. 166

Lattice parameters (Å, degrees): 7.228 7.228 7.228 82.75 82.75 82.75
Element x y z (fractional)
Pd (0.000, 0.000, 0.500)
Pd (0.102, 0.102, 0.102)
Pd (0.000, 0.500, 0.000)
Pd (0.898, 0.898, 0.898)
Pd (0.500, 0.000, 0.000)
Au (0.000, 0.302, 0.698)
Au (0.153, 0.651, 0.651)
Au (0.349, 0.349, 0.847)
Au (0.302, 0.000, 0.698)
Au (0.698, 0.000, 0.302)
Au (0.349, 0.847, 0.349)
Au (0.698, 0.302, 0.000)
Au (0.000, 0.698, 0.302)
Au (0.651, 0.153, 0.651)
Au (0.847, 0.349, 0.349)
Au (0.302, 0.698, 0.000)
Au (0.651, 0.651, 0.153)
Pr (0.685, 0.685, 0.685)
Pr (0.315, 0.315, 0.315)

---

[11]
Here is a relaxed Li2ZrAl crystal from the Alexandria database. Energies are from GGA-PBE.

E_tot   -3.933 eV/atom
Crystal system   tetragonal
Total magnetization   0.00 Bohr magnetons per cell
SG   P4/mmm, No. 123

Lattice parameters (Å, degrees): 2.907 2.907 8.469 90.00 90.00 90.00
Element x y z (fractional)
Zr (0.500, 0.500, 0.250)
Al (0.500, 0.500, 0.750)
Li (0.000, 0.000, 0.533)
Li (0.000, 0.000, 0.967)

---

[12]
Here is a relaxed LiTi2AgF crystal from the Alexandria database. Energies are from GGA-PBE.

E_tot   -4.785 eV/atom
Crystal system   tetragonal
Total magnetization   1.73 Bohr magnetons per cell
SG   P4/mmm, No. 123
Formation energy without anion corrections   -28.9 kJ per mole of atoms

Lattice parameters (Å, degrees): 4.076 5.116 4.076 90.00 90.00 90.00
Last column: magnetic moment on the atom in μB.
Element x y z (fractional)
Ti (0.500, 0.000, 0.000)  0.55
Ti (0.000, 0.000, 0.500)  0.77
Li (0.500, 0.500, 0.500)  0.00
Ag (0.000, 0.500, 0.000)  0.02
F (0.000, 0.000, 0.000)  0.01

---

[13]
Here is a relaxed HfNb2TlCl crystal from the Alexandria database. Energies are from GGA-PBE.

E_tot   -5.486 eV/atom
Crystal system   tetragonal
Total magnetization   0.00 Bohr magnetons per cell
SG   P4/mmm, No. 123
Formation energy without anion corrections   132.7 kJ per mole of atoms

Lattice parameters (Å, degrees): 5.014 5.701 5.014 90.00 90.00 90.00
Element x y z (fractional)
Nb (0.500, 0.000, 0.000)
Nb (0.000, 0.000, 0.500)
Cl (0.500, 0.500, 0.500)
Tl (0.000, 0.500, 0.000)
Hf (0.000, 0.000, 0.000)

---

[14]
Here is a relaxed La2Ge4IrPd3 crystal from the Alexandria database. Energies are from GGA-PBE.

E_tot   -6.103 eV/atom
Crystal system   tetragonal
Total magnetization   0.00 Bohr magnetons per cell
SG   P-4m2, No. 115

Lattice parameters (Å, degrees): 4.369 4.369 10.270 90.00 90.00 90.00
Element x y z (fractional)
Ir (0.500, 0.500, 0.500)
Ge (0.500, 0.500, 0.000)
Ge (0.000, 0.500, 0.374)
Ge (0.000, 0.000, 0.000)
Ge (0.500, 0.000, 0.626)
La (0.000, 0.500, 0.754)
La (0.500, 0.000, 0.246)
Pd (0.000, 0.000, 0.500)
Pd (0.500, 0.000, 0.869)
Pd (0.000, 0.500, 0.131)

---

[15]
Here is a relaxed K3Pr crystal from the Alexandria database. Energies are from GGA-PBE.

E_tot   -1.500 eV/atom
Crystal system   tetragonal
Total magnetization   0.44 Bohr magnetons per cell
SG   I4/mmm, No. 139

Lattice parameters (Å, degrees): 7.875 7.875 7.875 136.68 136.68 62.93
Last column: magnetic moment on the atom in μB.
Element x y z (fractional)
K (0.500, 0.500, 0.000)  0.00
K (0.250, 0.750, 0.500)  0.00
K (0.750, 0.250, 0.500)  0.00
Pr (0.000, 0.000, 0.000)  0.15

---

[16]
Here is a relaxed TiCrH2Rh crystal from the Alexandria database. Energies are from GGA-PBE.

E_tot   -5.856 eV/atom
Crystal system   tetragonal
Total magnetization   1.98 Bohr magnetons per cell
SG   P4/mmm, No. 123

Lattice parameters (Å, degrees): 3.476 4.794 3.476 90.00 90.00 90.00
Last column: magnetic moment on the atom in μB.
Element x y z (fractional)
Ti (0.500, 0.500, 0.500)  -0.31
H (0.000, 0.000, 0.500)  0.01
H (0.500, 0.000, 0.000)  0.01
Cr (0.000, 0.500, 0.000)  2.04
Rh (0.000, 0.000, 0.000)  0.08

---

[17]
Here is a relaxed Hf2TlRh crystal from the Alexandria database. Energies are from GGA-PBE.

E_tot   -7.736 eV/atom
Crystal system   tetragonal
Total magnetization   0.03 Bohr magnetons per cell
SG   P4/mmm, No. 123

Lattice parameters (Å, degrees): 3.094 3.094 8.326 90.00 90.00 90.00
Element x y z (fractional)
Tl (0.500, 0.500, 0.500)
Hf (0.000, 0.000, 0.215)
Hf (0.000, 0.000, 0.785)
Rh (0.500, 0.500, 0.000)

---

[18]
Here is a relaxed CoIrSe2 crystal from the Alexandria database. Energies are from GGA-PBE.

E_tot   -5.688 eV/atom
Crystal system   tetragonal
Total magnetization   0.00 Bohr magnetons per cell
SG   P4mm, No. 99
Formation energy without anion corrections   4.5 kJ per mole of atoms

Lattice parameters (Å, degrees): 3.363 3.368 6.492 90.00 90.00 90.00
Element x y z (fractional)
Se (0.000, 0.000, 0.878)
Se (0.500, 0.500, 0.370)
Co (0.000, 0.000, 0.513)
Ir (0.500, 0.500, 0.738)

---

[19]
Here is a relaxed Si5Sb crystal from the Alexandria database. Energies are from GGA-PBE.

E_tot   -4.724 eV/atom
Crystal system   tetragonal
Total magnetization   0.00 Bohr magnetons per cell
SG   P4/mmm, No. 123
Formation energy without anion corrections   46.5 kJ per mole of atoms

Lattice parameters (Å, degrees): 3.329 3.329 9.176 90.00 90.00 90.00
Element x y z (fractional)
Sb (0.500, 0.500, 0.000)
Si (0.500, 0.500, 0.349)
Si (0.500, 0.500, 0.651)
Si (0.000, 0.000, 0.226)
Si (0.000, 0.000, 0.500)
Si (0.000, 0.000, 0.774)

---

[20]
Here is a relaxed Hf3PO crystal from the Alexandria database. Energies are from GGA-PBE.

E_tot   -8.952 eV/atom
Crystal system   cubic
Total magnetization   0.00 Bohr magnetons per cell
SG   Pm-3m, No. 221
Formation energy without anion corrections   -87.5 kJ per mole of atoms

Lattice parameters (Å, degrees): 4.330 4.330 4.330 90.00 90.00 90.00
Element x y z (fractional)
P (0.500, 0.500, 0.500)
Hf (0.000, 0.000, 0.500)
Hf (0.500, 0.000, 0.000)
Hf (0.000, 0.500, 0.000)
O (0.000, 0.000, 0.000)